# Li2GeAu2

A geometry-optimized Li2GeAu2 structure (GGA-PBE, Alexandria).

abc: 7.0811 7.0811 5.4746
angles: 90.00 90.00 143.56
Element x y z (fractional)
Li  0.0211  0.9789  0.5000
Li  0.2182  0.7818  0.4457
Li  0.7818  0.2182  0.9457
Li  0.9789  0.0211  0.0000
Ge  0.4099  0.5901  0.2429
Ge  0.5901  0.4099  0.7429
Au  0.1665  0.8335  0.9269
Au  0.3857  0.6143  0.7681
Au  0.6143  0.3857  0.2681
Au  0.8335  0.1665  0.4269

Calculated values
Space-group type: Cmc2_1
Polymorph energy (0 for the lowest one), meV/atom: 4

# Li6GeAu

A geometry-optimized Li6GeAu structure (GGA-PBE, Alexandria).

abc: 5.6550 5.6550 4.6172
angles: 90.00 90.00 120.00
Element x y z (fractional)
Li  0.0242  0.5121  0.0000
Li  0.3229  0.1614  0.5000
Li  0.4879  0.5121  0.0000
Li  0.4879  0.9758  0.0000
Li  0.8386  0.1614  0.5000
Li  0.8386  0.6771  0.5000
Ge  0.3333  0.6667  0.5000
Au  0.0000  0.0000  0.0000

Calculated values
Space-group type: P-6m2

# LiGeAu

A geometry-optimized LiGeAu structure (GGA-PBE, Alexandria).

abc: 4.4692 4.4692 3.0047
angles: 90.00 90.00 120.00
Element x y z (fractional)
Li  0.0000  0.0000  0.0000
Ge  0.6667  0.3333  0.5000
Au  0.3333  0.6667  0.5000

Calculated values
Space-group type: P-6m2

# Li2GeAu4

A geometry-optimized Li2GeAu4 structure (GGA-PBE, Alexandria).

abc: 4.8496 4.8496 13.7568
angles: 90.00 90.00 90.00
Element x y z (fractional)
Li  0.0000  0.0000  0.1219
Li  0.0000  0.0000  0.8781
Li  0.5000  0.5000  0.3781
Li  0.5000  0.5000  0.6219
Ge  0.0000  0.0000  0.5000
Ge  0.5000  0.5000  0.0000
Au  0.0000  0.0000  0.3116
Au  0.0000  0.0000  0.6884
Au  0.0000  0.5000  0.0000
Au  0.0000  0.5000  0.5000
Au  0.5000  0.0000  0.0000
Au  0.5000  0.0000  0.5000
Au  0.5000  0.5000  0.1884
Au  0.5000  0.5000  0.8116

Calculated values
Space-group type: I4/mmm
Polymorph energy (0 for the lowest one), meV/atom: 335

# Li6GeAu2

A geometry-optimized Li6GeAu2 structure (GGA-PBE, Alexandria).

abc: 7.4742 7.4742 2.8088
angles: 90.00 90.00 120.00
Element x y z (fractional)
Li  0.0000  0.3294  0.0000
Li  0.0000  0.6706  0.0000
Li  0.3294  0.0000  0.0000
Li  0.3294  0.3294  0.0000
Li  0.6706  0.0000  0.0000
Li  0.6706  0.6706  0.0000
Ge  0.0000  0.0000  0.5000
Au  0.3333  0.6667  0.5000
Au  0.6667  0.3333  0.5000

Calculated values
Space-group type: P6/mmm
Polymorph energy (0 for the lowest one), meV/atom: 0

# Li4GeAu5

A geometry-optimized Li4GeAu5 structure (GGA-PBE, Alexandria).

abc: 6.3169 6.3169 6.3169
angles: 99.22 99.22 132.80
Element x y z (fractional)
Li  0.1408  0.2436  0.3844
Li  0.2436  0.8592  0.1027
Li  0.7564  0.1408  0.8973
Li  0.8592  0.7564  0.6156
Ge  0.6944  0.6944  0.0000
Au  0.1819  0.5622  0.7135
Au  0.2098  0.2098  0.0000
Au  0.4684  0.1819  0.6197
Au  0.5622  0.8488  0.3803
Au  0.8488  0.4684  0.2865

Calculated values
Space-group type: I4
Polymorph energy (0 for the lowest one), meV/atom: 131

# Li4GeAu5

A geometry-optimized Li4GeAu5 structure (GGA-PBE, Alexandria).

abc: 3.2961 3.2961 14.8129
angles: 90.00 90.00 90.00
Element x y z (fractional)
Li  0.0000  0.0000  0.0978
Li  0.0000  0.0000  0.2935
Li  0.0000  0.0000  0.7065
Li  0.0000  0.0000  0.9022
Ge  0.0000  0.0000  0.5000
Au  0.5000  0.5000  0.0000
Au  0.5000  0.5000  0.1945
Au  0.5000  0.5000  0.3897
Au  0.5000  0.5000  0.6103
Au  0.5000  0.5000  0.8055

Calculated values
Space-group type: P4/mmm
Polymorph energy (0 for the lowest one), meV/atom: 0

# LiGe2Au

A geometry-optimized LiGe2Au structure (GGA-PBE, Alexandria).

abc: 6.5455 6.5455 6.5455
angles: 90.00 90.00 90.00
Element x y z (fractional)
Li  0.0000  0.0000  0.0000
Li  0.0000  0.5000  0.5000
Li  0.5000  0.0000  0.5000
Li  0.5000  0.5000  0.0000
Ge  0.2500  0.2500  0.2500
Ge  0.2500  0.2500  0.7500
Ge  0.2500  0.7500  0.2500
Ge  0.2500  0.7500  0.7500
Ge  0.7500  0.2500  0.2500
Ge  0.7500  0.2500  0.7500
Ge  0.7500  0.7500  0.2500
Ge  0.7500  0.7500  0.7500
Au  0.0000  0.0000  0.5000
Au  0.0000  0.5000  0.0000
Au  0.5000  0.0000  0.0000
Au  0.5000  0.5000  0.5000

Calculated values
Space-group type: Fm-3m
Polymorph energy (0 for the lowest one), meV/atom: 52

# Li2Ge3Au2

A geometry-optimized Li2Ge3Au2 structure (GGA-PBE, Alexandria).

abc: 9.5723 4.2427 6.9214
angles: 90.00 109.33 90.00
Element x y z (fractional)
Li  0.1728  0.0000  0.3262
Li  0.3272  0.5000  0.6738
Li  0.6728  0.5000  0.3262
Li  0.8272  0.0000  0.6738
Ge  0.0000  0.5000  0.5000
Ge  0.1180  0.5000  0.9552
Ge  0.3820  0.0000  0.0448
Ge  0.5000  0.0000  0.5000
Ge  0.6180  0.0000  0.9552
Ge  0.8820  0.5000  0.0448
Au  0.1342  0.0000  0.7277
Au  0.3658  0.5000  0.2723
Au  0.6342  0.5000  0.7277
Au  0.8658  0.0000  0.2723

Calculated values
Space-group type: C2/m

# LiGe2Au2

A geometry-optimized LiGe2Au2 structure (GGA-PBE, Alexandria).

abc: 3.8313 3.8313 13.4208
angles: 90.00 90.00 90.00
Element x y z (fractional)
Li  0.0000  0.0000  0.0000
Li  0.5000  0.5000  0.5000
Ge  0.0000  0.5000  0.2500
Ge  0.0000  0.5000  0.7500
Ge  0.5000  0.0000  0.2500
Ge  0.5000  0.0000  0.7500
Au  0.0000  0.0000  0.4017
Au  0.0000  0.0000  0.5983
Au  0.5000  0.5000  0.0983
Au  0.5000  0.5000  0.9017

Calculated values
Space-group type: I4/mmm
Polymorph energy (0 for the lowest one), meV/atom: 62

# Li5GeAu

A geometry-optimized Li5GeAu structure (GGA-PBE, Alexandria).

abc: 4.6987 4.6987 10.6989
angles: 90.00 90.00 77.17
Element x y z (fractional)
Li  0.0627  0.9373  0.7500
Li  0.1515  0.4506  0.6051
Li  0.1515  0.4506  0.8949
Li  0.4506  0.1515  0.1051
Li  0.4506  0.1515  0.3949
Li  0.5494  0.8485  0.6051
Li  0.5494  0.8485  0.8949
Li  0.8485  0.5494  0.1051
Li  0.8485  0.5494  0.3949
Li  0.9373  0.0627  0.2500
Ge  0.0000  0.0000  0.0000
Ge  0.0000  0.0000  0.5000
Au  0.3790  0.6210  0.2500
Au  0.6210  0.3790  0.7500

Calculated values
Space-group type: Cmcm
Polymorph energy (0 for the lowest one), meV/atom: 0

# Li8GeAu2

A geometry-optimized Li8GeAu2 structure (GGA-PBE, Alexandria).

abc: 7.1048 7.1048 6.5719
angles: 114.78 114.78 36.15
Element x y z (fractional)
Li  0.0260  0.0260  0.2382
Li  0.1492  0.1492  0.6936
Li  0.3337  0.3337  0.6081
Li  0.3831  0.3831  0.0627
Li  0.6169  0.6169  0.9373
Li  0.6663  0.6663  0.3919
Li  0.8508  0.8508  0.3064
Li  0.9740  0.9740  0.7618
Ge  0.5000  0.5000  0.5000
Au  0.2071  0.2071  0.1633
Au  0.7929  0.7929  0.8367

Calculated values
Space-group type: C2/m

| no. | energy relative to the elements (meV per atom) | Fermi-level density of states (states/eV/atom) | E (eV/atom) |
| --- | --- | --- | --- |
| 1 | -404 | 0.2921 | -3.404 |
| 2 | -341 | 0.3810 | -2.763 |
| 3 | -366 | 0.3281 | -3.635 |
| 4 | 32 | 0.2205 | -3.047 |
| 5 | -409 | 0.2728 | -2.926 |
| 6 | -292 | 0.3421 | -3.158 |
| 7 | -423 | 0.2154 | -3.289 |
| 8 | -100 | 0.2138 | -3.707 |
| 9 | -191 | 0.3051 | -3.653 |
| 10 | -56 | 0.3790 | -3.597 |
| 11 | -338 | 0.2284 | -2.833 |
| 12 | -378 | 0.3281 | -2.786 |